# 1
{
  "formula": "Cu3Si",
  "functional": "PBE-GGA",
  "state": "optimized geometry",
  "volume_a3_per_atom": 12.08,
  "formation_energy_uncorrected_kcal_per_mol_atoms": -1.39,
  "magnetic_moment_mub_per_atom": 0.00,
  "energy_ev_per_atom": -4.488,
  "lattice_angstrom": [[-2.8236, -2.8499, 0.8981], [3.7835, -3.4656, 0.8983], [2.0082, -0.4827, 4.7820]],
  "species": ["Cu", "Cu", "Cu", "Cu", "Si", "Cu", "Cu", "Si"],
  "frac_coords": [[0.2500, 0.1680, 0.1680], [0.2500, 0.6640, 0.1680], [0.7500, 0.8320, 0.8320], [0.7500, 0.8320, 0.3360], [0.7500, 0.3333, 0.3333], [0.7500, 0.3360, 0.8320], [0.2500, 0.1680, 0.6640], [0.2500, 0.6667, 0.6667]]
}

***

# 2
{
  "formula": "RbGaF3",
  "functional": "PBE-GGA",
  "state": "optimized geometry",
  "volume_a3_per_atom": 20.79,
  "formation_energy_uncorrected_kcal_per_mol_atoms": -55.05,
  "magnetic_moment_mub_per_atom": 0.00,
  "energy_ev_per_atom": -4.309,
  "lattice_angstrom": [[17.0432, 0.0000, -1.3109], [6.5150, 2.0006, -3.5504], [-6.5150, 2.0006, 3.5504]],
  "species": ["Rb", "F", "Rb", "F", "F", "F", "F", "F", "Ga", "Ga"],
  "frac_coords": [[0.3628, 0.0128, 0.9872], [0.6420, 0.1733, 0.8267], [0.6372, 0.9872, 0.0128], [0.3580, 0.8267, 0.1733], [0.0630, 0.5706, 0.4294], [0.2646, 0.7393, 0.2607], [0.9370, 0.4294, 0.5706], [0.7354, 0.2607, 0.7393], [0.1344, 0.9879, 0.0121], [0.8656, 0.0121, 0.9879]]
}

***

# 3
{
  "formula": "BaBi3O",
  "functional": "PBE-GGA",
  "state": "optimized geometry",
  "volume_a3_per_atom": 52.92,
  "de_polymorph_kj_per_mol_fu": 947,
  "formation_energy_uncorrected_kcal_per_mol_atoms": 32.82,
  "magnetic_moment_mub_per_atom": 0.00,
  "energy_ev_per_atom": -2.282,
  "lattice_angstrom": [[-3.3267, 5.0302, 2.2018], [2.1204, -1.1978, 5.9403], [5.0650, 3.8052, -1.0407]],
  "species": ["Ba", "Bi", "O", "Bi", "Bi"],
  "frac_coords": [[0.0000, 0.0000, 0.0000], [0.0000, 0.0000, 0.5000], [0.5000, 0.5000, 0.5000], [0.5000, 0.0000, 0.0000], [0.0000, 0.5000, 0.0000]]
}

***

# 4
{
  "formula": "BaLi2HgSb",
  "functional": "PBE-GGA",
  "state": "optimized geometry",
  "volume_a3_per_atom": 33.41,
  "formation_energy_uncorrected_kcal_per_mol_atoms": -4.19,
  "magnetic_moment_mub_per_atom": 0.00,
  "energy_ev_per_atom": -2.217,
  "lattice_angstrom": [[-1.7570, -4.2582, 2.2976], [-0.0480, -2.9783, -5.5565], [4.8384, -1.5660, 0.7976]],
  "species": ["Li", "Sb", "Hg", "Ba", "Li"],
  "frac_coords": [[0.5000, 0.0000, 0.0000], [0.5000, 0.5000, 0.5000], [0.0000, 0.0000, 0.0000], [0.0000, 0.5000, 0.0000], [0.0000, 0.0000, 0.5000]]
}

***

# 5
{
  "formula": "Sc2AlHgPd",
  "functional": "PBE-GGA",
  "state": "optimized geometry",
  "volume_a3_per_atom": 26.97,
  "delta_e_f_mev_per_atom": 510.8,
  "magnetic_moment_mub_per_atom": 0.00,
  "energy_ev_per_atom": -3.869,
  "lattice_angstrom": [[-1.8596, -1.2414, 4.6840], [3.5802, -3.4612, 0.5041], [3.1141, 3.5378, 2.1739]],
  "species": ["Al", "Hg", "Sc", "Sc", "Pd"],
  "frac_coords": [[0.5000, 0.5000, 0.5000], [0.0000, 0.0000, 0.0000], [0.0000, 0.0000, 0.5000], [0.5000, 0.0000, 0.0000], [0.0000, 0.5000, 0.0000]]
}

***

# 6
{
  "formula": "KAc2Pb9",
  "functional": "PBE-GGA",
  "state": "optimized geometry",
  "volume_a3_per_atom": 32.33,
  "delta_e_f_mev_per_atom": -297.0,
  "magnetic_moment_mub_per_atom": 0.00,
  "energy_ev_per_atom": -3.854,
  "lattice_angstrom": [[-3.5021, 1.4570, -3.3307], [-1.9111, -4.6720, -0.0342], [-9.3279, 3.7318, 11.4405]],
  "species": ["Pb", "Pb", "Pb", "Pb", "Pb", "Pb", "Pb", "Ac", "K", "Ac", "Pb", "Pb"],
  "frac_coords": [[0.5000, 0.5000, 0.3304], [0.5000, 0.0000, 0.8364], [0.5000, 0.5000, 0.0000], [0.5000, 0.0000, 0.5000], [0.0000, 0.5000, 0.8364], [0.0000, 0.5000, 0.5000], [0.5000, 0.0000, 0.1636], [0.0000, 0.0000, 0.3352], [0.0000, 0.0000, 0.0000], [0.0000, 0.0000, 0.6648], [0.5000, 0.5000, 0.6696], [0.0000, 0.5000, 0.1636]]
}

***

# 7
{
  "formula": "ZrTcSb2",
  "functional": "PBE-GGA",
  "state": "optimized geometry",
  "volume_a3_per_atom": 19.99,
  "de_polymorph_kj_per_mol_fu": 44,
  "formation_energy_uncorrected_kcal_per_mol_atoms": -2.83,
  "magnetic_moment_mub_per_atom": 0.00,
  "energy_ev_per_atom": -6.912,
  "lattice_angstrom": [[-2.9865, -2.9824, -2.3771], [3.5346, -3.2984, -0.3026], [-1.0079, -1.3518, 2.9622]],
  "species": ["Zr", "Tc", "Sb", "Sb"],
  "frac_coords": [[0.0000, 0.5000, 0.5000], [0.5000, 0.0000, 0.5000], [0.5000, 0.5000, 0.0000], [0.0000, 0.0000, 0.0000]]
}

***

# 8
{
  "formula": "Mg4BeAs",
  "functional": "PBE-GGA",
  "state": "optimized geometry",
  "volume_a3_per_atom": 20.77,
  "delta_e_f_mev_per_atom": 445.9,
  "magnetic_moment_mub_per_atom": 0.00,
  "energy_ev_per_atom": -2.013,
  "lattice_angstrom": [[3.7311, -4.1584, -0.4716], [3.2235, -1.3836, 4.3739], [-0.8500, -4.8471, 2.6868]],
  "species": ["As", "Mg", "Mg", "Mg", "Be", "Mg"],
  "frac_coords": [[0.7500, 0.7500, 0.7500], [0.8747, 0.3751, 0.3751], [0.3751, 0.3751, 0.8747], [0.3751, 0.3751, 0.3751], [0.0000, 0.0000, 0.0000], [0.3751, 0.8747, 0.3751]]
}

***

# 9
{
  "formula": "CeNi2Mo",
  "functional": "PBE-GGA",
  "state": "optimized geometry",
  "volume_a3_per_atom": 15.58,
  "delta_e_f_mev_per_atom": 253.1,
  "magnetic_moment_mub_per_atom": 0.00,
  "energy_ev_per_atom": -6.829,
  "lattice_angstrom": [[-0.5403, 2.5422, -1.0138], [-1.6178, 0.2877, -2.2544], [-8.1836, 1.5224, 4.3410]],
  "species": ["Ce", "Ni", "Ni", "Mo"],
  "frac_coords": [[0.5000, 0.5000, 0.5000], [0.2588, 0.2588, 0.2235], [0.7412, 0.7412, 0.7765], [0.0000, 0.0000, 0.0000]]
}

***

# 10
{
  "formula": "TlGe2W",
  "functional": "PBE-GGA",
  "state": "optimized geometry",
  "volume_a3_per_atom": 19.29,
  "de_polymorph_kj_per_mol_fu": 28,
  "delta_e_f_mev_per_atom": 941.4,
  "magnetic_moment_mub_per_atom": 0.20,
  "energy_ev_per_atom": -5.197,
  "lattice_angstrom": [[3.1168, -2.4152, -2.6994], [-0.0455, -4.7783, -0.0069], [-1.5178, -2.3693, -3.8622]],
  "species": ["Ge", "W", "Ge", "Tl"],
  "frac_coords": [[0.2500, 0.2500, 0.2500], [0.0000, 0.0000, 0.0000], [0.7500, 0.7500, 0.7500], [0.5000, 0.5000, 0.5000]]
}

***

# 11
{
  "formula": "Hf4Te8Pb",
  "functional": "PBE-GGA",
  "state": "optimized geometry",
  "volume_a3_per_atom": 33.92,
  "formation_energy_uncorrected_kcal_per_mol_atoms": -16.38,
  "magnetic_moment_mub_per_atom": 0.00,
  "energy_ev_per_atom": -5.991,
  "lattice_angstrom": [[-6.2476, -3.4001, 3.5968], [0.4013, -7.6106, 2.3341], [0.8824, -1.3360, 9.1013]],
  "species": ["Hf", "Te", "Hf", "Te", "Te", "Te", "Te", "Pb", "Te", "Hf", "Hf", "Te", "Te"],
  "frac_coords": [[0.0000, 0.5000, 0.0000], [0.7399, 0.7399, 0.7803], [0.5000, 0.0000, 0.0000], [0.2392, 0.7436, 0.7779], [0.7608, 0.2564, 0.2221], [0.7608, 0.7608, 0.2221], [0.2564, 0.7608, 0.2221], [0.5000, 0.5000, 0.5000], [0.7436, 0.2392, 0.7779], [0.0000, 0.0000, 0.0000], [0.5000, 0.5000, 0.0000], [0.2601, 0.2601, 0.2197], [0.2392, 0.2392, 0.7779]]
}

***

# 12
{
  "formula": "DyZnSb2",
  "functional": "PBE-GGA",
  "state": "optimized geometry",
  "volume_a3_per_atom": 24.54,
  "formation_energy_uncorrected_kcal_per_mol_atoms": -10.32,
  "magnetic_moment_mub_per_atom": 0.00,
  "energy_ev_per_atom": -3.978,
  "lattice_angstrom": [[4.9753, 0.0000, 0.0000], [0.0000, 6.3614, 0.0000], [0.0000, 0.0000, 12.4051]],
  "species": ["Zn", "Dy", "Sb", "Sb", "Dy", "Sb", "Sb", "Dy", "Zn", "Sb", "Sb", "Sb", "Zn", "Zn", "Dy", "Sb"],
  "frac_coords": [[0.7500, 0.9259, 0.6898], [0.2500, 0.6472, 0.5915], [0.7500, 0.3768, 0.6875], [0.7500, 0.6460, 0.9655], [0.7500, 0.1472, 0.9085], [0.2500, 0.6232, 0.3125], [0.2500, 0.1460, 0.5345], [0.2500, 0.8528, 0.0915], [0.2500, 0.0741, 0.3102], [0.2500, 0.8768, 0.8125], [0.7500, 0.8540, 0.4655], [0.7500, 0.1232, 0.1875], [0.7500, 0.5741, 0.1898], [0.2500, 0.4259, 0.8102], [0.7500, 0.3528, 0.4085], [0.2500, 0.3540, 0.0345]]
}